{"formula": "NaAlCuAu", "functional": "PBE", "state": "relaxed", "lattice": [[4.540, 0.000, 0.000], [2.270, 3.932, 0.000], [2.270, 1.311, 3.707]], "species": ["Cu", "Al", "Na", "Au"], "frac_coords": [[0.000, 0.000, 0.000], [0.250, 0.250, 0.250], [0.750, 0.750, 0.750], [0.500, 0.500, 0.500]], "dft_energy_ev_per_atom": -3.180, "e_form_ev_per_atom": -0.07, "m_tot_mub_per_cell": 0.00, "dos_at_fermi_per_ev_fu": 2.02}